Record 1
# SnBiAuSe

SnBiAuSe after structural relaxation (PBE, Alexandria via LeMat-Bulk).

Values from the calculation:
Formation energy without anion corrections, meV per atom: -77

The structure in extended XYZ format:
```
8
Lattice="2.4766 1.4299 11.2212 -2.4766 1.4299 11.2212 0.0000 -2.8598 11.2212" Properties=species:S:1:pos:R:3 pbc="T T T"
Sn 0.0000 0.0000 3.7717
Sn 0.0000 0.0000 29.8918
Bi 0.0000 0.0000 9.7834
Bi 0.0000 0.0000 23.8801
Au 0.0000 0.0000 12.8370
Au 0.0000 0.0000 20.8265
Se 0.0000 0.0000 6.8243
Se 0.0000 0.0000 26.8391
```

Record 2
# Mg14SnSb

Mg14SnSb after structural relaxation (PBE, Alexandria via LeMat-Bulk).

Values from the calculation:
Distance to the lowest polymorph of the same formula, meV per atom: 0
Formation energy without anion corrections, meV per atom: -50

The structure in extended XYZ format:
```
16
Lattice="6.4839 0.0000 0.0000 -3.2419 5.6152 0.0000 0.0000 0.0000 10.1060" Properties=species:S:1:pos:R:3 pbc="T T T"
Mg 0.0000 0.0000 2.5293
Mg 0.0000 0.0000 7.5767
Mg 1.6099 0.9295 0.0000
Mg 1.6137 0.9317 5.0530
Mg 3.2419 0.0487 2.5411
Mg 3.2419 0.0487 7.5650
Mg 1.6631 2.7832 2.5411
Mg 1.6631 2.7832 7.5650
Mg 4.8740 0.9295 0.0000
Mg 4.8701 0.9317 5.0530
Mg 3.2419 3.7518 5.0530
Mg 3.2419 3.7562 0.0000
Mg 4.8207 2.7832 2.5411
Mg 4.8207 2.7832 7.5650
Sn 0.0000 3.7435 5.0530
Sb 0.0000 3.7435 0.0000
```

Record 3
# UGaPt2

UGaPt2 after structural relaxation (PBE, Alexandria via LeMat-Bulk).

Values from the calculation:
Energy of formation from the pure elements, meV per atom: -577

The structure in extended XYZ format:
```
4
Lattice="3.2130 0.0000 0.0000 0.0000 3.2130 0.0000 0.0000 0.0000 6.8338" Properties=species:S:1:pos:R:3 pbc="T T T"
U 0.0000 0.0000 0.0000
Ga 0.0000 0.0000 3.4169
Pt 1.6065 1.6065 1.8959
Pt 1.6065 1.6065 4.9379
```

Density of states at the Fermi level, respectively: 2.14, 7.18, 2.25 states/eV/cell.